1.
## Zr2TaAg (PBE)

Data for an optimized crystal structure of Zr2TaAg.

Calculated values
density = 9.9 g/cm3
calculated total energy = -7.691 eV/atom

abc: 6.8096 6.8096 6.8096
angles: 90.00 90.00 90.00
Space group F-43m (No. 216)
Asymmetric unit:
Zr: 0.0000 0.0000 0.0000 (multiplicity 4)
Zr: 0.2500 0.2500 0.2500 (multiplicity 4)
Ta: 0.0000 0.0000 0.5000 (multiplicity 4)
Ag: 0.2500 0.2500 0.7500 (multiplicity 4)

2.
## Tb2Ag (PBE)

Data for an optimized crystal structure of Tb2Ag.

Calculated values
density = 2.8 g/cm3
calculated total energy = -2.557 eV/atom

abc: 12.6064 12.6064 12.6064
angles: 90.00 90.00 90.00
Space group Fd-3m (No. 227, origin choice 2)
Asymmetric unit:
Tb: 0.0000 0.0000 0.0000 (multiplicity 16)
Ag: 0.1250 0.1250 0.1250 (multiplicity 8)

3.
## TbAg (PBE)

Data for an optimized crystal structure of TbAg.

Calculated values
density = 9.0 g/cm3
calculated total energy = -3.788 eV/atom

abc: 3.4412 3.4412 4.7832
angles: 90.00 90.00 120.00
Space group P-6m2 (No. 187)
Asymmetric unit:
Tb: 0.0000 0.0000 0.0000 (multiplicity 1)
Ag: 0.3333 0.6667 0.5000 (multiplicity 1)

4.
## TbAg (PBE)

Data for an optimized crystal structure of TbAg.

Calculated values
density = 9.2 g/cm3
calculated total energy = -4.054 eV/atom

abc: 3.6394 3.6394 3.6394
angles: 90.00 90.00 90.00
Space group Pm-3m (No. 221)
Asymmetric unit:
Tb: 0.0000 0.0000 0.0000 (multiplicity 1)
Ag: 0.5000 0.5000 0.5000 (multiplicity 1)

5.
## TbAg (PBE)

Data for an optimized crystal structure of TbAg.

Calculated values
density = 6.4 g/cm3
calculated total energy = -3.270 eV/atom

abc: 6.5081 6.5081 6.5081
angles: 90.00 90.00 90.00
Space group F-43m (No. 216)
Asymmetric unit:
Tb: 0.0000 0.0000 0.0000 (multiplicity 4)
Ag: 0.2500 0.2500 0.2500 (multiplicity 4)

6.
## Tb2Ag (PBE)

Data for an optimized crystal structure of Tb2Ag.

Calculated values
density = 8.4 g/cm3
calculated total energy = -3.573 eV/atom

abc: 8.7520 8.7520 8.7520
angles: 90.00 90.00 90.00
Space group Fd-3m (No. 227, origin choice 2)
Asymmetric unit:
Tb: 0.0000 0.0000 0.0000 (multiplicity 16)
Ag: 0.1250 0.1250 0.6250 (multiplicity 8)

Q: The highest calculated total energy belongs to which entry?
A: number 2

Q: Among the records above, which one has the highest density?
A: Zr2TaAg